The following is a DFT calculation (PBE with a Hubbard U) of a relaxed structure of Zn2MoSeO7.

raw total energy = -5.68 eV per atom

abc: 5.206 8.618 7.415
angles: 90.00 99.44 90.00
Sites, in units of the cell vectors:
Zn  0.038  0.000  0.272
Zn  0.432  0.827  0.973
Zn  0.568  0.327  0.027
Zn  0.962  0.500  0.728
Mo  0.423  0.336  0.483
Mo  0.577  0.836  0.517
Se  0.035  0.128  0.890
Se  0.965  0.628  0.110
O  0.163  0.661  0.944
O  0.208  0.479  0.552
O  0.212  0.299  0.887
O  0.250  0.018  0.046
O  0.258  0.155  0.445
O  0.293  0.816  0.340
O  0.486  0.896  0.730
O  0.514  0.396  0.270
O  0.707  0.316  0.660
O  0.742  0.655  0.555
O  0.750  0.518  0.954
O  0.788  0.799  0.113
O  0.792  0.979  0.448
O  0.837  0.161  0.056